# SmY2V PBE relaxed
data_SmY2V
_chemical_formula_sum 'Sm3 Y6 V3'
_cell_length_a 3.4024
_cell_length_b 3.4024
_cell_length_c 34.6432
_cell_angle_alpha 90.00
_cell_angle_beta 90.00
_cell_angle_gamma 120.00
_space_group_name_H-M_alt 'R -3 m'
_space_group_IT_number 166
_space_group_name_Hall '-R 3 2"'
loop_
_atom_site_label
_atom_site_type_symbol
_atom_site_fract_x
_atom_site_fract_y
_atom_site_fract_z
Sm1 Sm 0.0000 0.0000 0.0000
Y1 Y 0.0000 0.0000 0.4189
V1 V 0.0000 0.0000 0.5000
# - DOS(E_F): 1.573 states/eV per atom
# - Formation energy: 623 meV/atom
# - Raw total energy: -72.8 eV/cell
# - Total moment: 9.264 Bohr magnetons per cell